[1]
## TbDy2CdPd4 (PBE)

Data for a relaxed structure of TbDy2CdPd4.

Values from the calculation:
DFT total energy = -0.3847 Ry per atom
magnetization = 0.00 μB per atom
space group = P4/mmm, No. 123
formation energy = -0.806 eV per atom

Lattice parameters (Å, degrees): 4.890 4.890 6.898 90.00 90.00 90.00
Positions (direct):
1 Tb 0.000 0.000 0.000
2 Dy 0.000 0.000 0.500
3 Dy 0.500 0.500 0.000
4 Cd 0.500 0.500 0.500
5 Pd 0.000 0.500 0.249
6 Pd 0.000 0.500 0.751
7 Pd 0.500 0.000 0.249
8 Pd 0.500 0.000 0.751

***

[2]
## Dy2YCdPd4 (PBE)

Data for a relaxed structure of Dy2YCdPd4.

Values from the calculation:
DFT total energy = -0.4015 Ry per atom
magnetization = 0.00 μB per atom
space group = P4/mmm, No. 123
formation energy = -0.804 eV per atom

Lattice parameters (Å, degrees): 4.889 4.889 6.900 90.00 90.00 90.00
Positions (direct):
1 Dy 0.000 0.000 0.000
2 Dy 0.500 0.500 0.500
3 Y 0.000 0.000 0.500
4 Cd 0.500 0.500 0.000
5 Pd 0.000 0.500 0.250
6 Pd 0.000 0.500 0.750
7 Pd 0.500 0.000 0.250
8 Pd 0.500 0.000 0.750

***

[3]
## PmDyCd (PBE)

Data for a relaxed structure of PmDyCd.

Values from the calculation:
DFT total energy = -0.2185 Ry per atom
magnetization = 0.01 μB per atom
space group = F-43m, No. 216
formation energy = 0.441 eV per atom
energy relative to the lowest polymorph listed for this composition = 0 meV/atom

Lattice parameters (Å, degrees): 5.060 5.060 5.060 60.00 60.00 60.00
Positions (direct):
1 Pm 0.000 0.000 0.000
2 Dy 0.750 0.750 0.750
3 Cd 0.500 0.500 0.500

***

[4]
## PrDyCd6 (PBE)

Data for a relaxed structure of PrDyCd6.

Values from the calculation:
DFT total energy = -0.1577 Ry per atom
magnetization = 0.00 μB per atom
space group = P4/mmm, No. 123
formation energy = -0.302 eV per atom
energy relative to the lowest polymorph listed for this composition = 0 meV/atom

Lattice parameters (Å, degrees): 5.122 5.122 7.290 90.00 90.00 90.00
Positions (direct):
1 Pr 0.000 0.000 0.000
2 Dy 0.500 0.500 0.500
3 Cd 0.000 0.000 0.500
4 Cd 0.000 0.500 0.257
5 Cd 0.000 0.500 0.743
6 Cd 0.500 0.000 0.257
7 Cd 0.500 0.000 0.743
8 Cd 0.500 0.500 0.000

***

[5]
## PrDyCd6 (PBE)

Data for a relaxed structure of PrDyCd6.

Values from the calculation:
DFT total energy = -0.1577 Ry per atom
magnetization = 0.00 μB per atom
space group = Pmm2, No. 25
formation energy = -0.303 eV per atom
energy relative to the lowest polymorph listed for this composition = 0 meV/atom

Lattice parameters (Å, degrees): 5.126 7.281 5.126 90.00 90.00 90.00
Positions (direct):
1 Pr 0.000 0.000 0.000
2 Dy 0.500 0.500 0.493
3 Cd 0.000 0.258 0.501
4 Cd 0.000 0.500 0.000
5 Cd 0.000 0.742 0.501
6 Cd 0.500 0.000 0.495
7 Cd 0.500 0.258 0.993
8 Cd 0.500 0.742 0.993

***

[6]
## PrDyCd (PBE)

Data for a relaxed structure of PrDyCd.

Values from the calculation:
DFT total energy = -0.2228 Ry per atom
magnetization = 0.01 μB per atom
space group = F-43m, No. 216
formation energy = 0.392 eV per atom
energy relative to the lowest polymorph listed for this composition = 0 meV/atom

Lattice parameters (Å, degrees): 5.089 5.089 5.089 60.00 60.00 60.00
Positions (direct):
1 Pr 0.000 0.000 0.000
2 Dy 0.750 0.750 0.750
3 Cd 0.500 0.500 0.500